Mn2HSeO | Alexandria via LeMat-Bulk | PBE with a Hubbard U | relaxed; crystal system = triclinic; energy relative to the lowest polymorph listed for this composition = 0.0000 eV/atom; DOS at the Fermi energy = 1.21 states/eV per cell; total energy = -6.0429 eV/atom
1.0
-1.760 0.652 -3.116
0.495 -3.571 -1.025
-6.652 -0.904 -0.657
O H Se Mn
1 1 1 2
Direct
0.873 0.935 0.498 O
0.367 0.452 0.504 H
0.872 0.394 0.001 Se
0.550 0.879 0.321 Mn
0.705 0.422 0.666 Mn